BaOs3Se | PBE | relaxed

Cell: 5.1438 5.1438 5.1438 Å, 90.00 90.00 90.00°
Space group Pm-3m (No. 221)
Unique sites:
Ba1 0.0000 0.0000 0.0000 [1 per cell]
Os1 0.0000 0.0000 0.5000 [3 per cell]
Se1 0.5000 0.5000 0.5000 [1 per cell]

The density comes out at 9.60 Mg/m³. The energy relative to the lowest polymorph listed for this composition comes out at 2432.7 meV/atom. The density of states at the Fermi level comes out at 8.427 states/eV per cell. The value obtained for the uncorrected formation energy is 19.07 eV per formula unit. The uncorrected energy comes out at -20.02 eV per formula unit.

***

NbReS4 | PBE | relaxed

Cell: 13.8074 3.2438 5.8002 Å, 90.00 101.65 90.00°
Space group Cm (No. 8)
Unique sites:
Nb1 0.0000 0.0000 0.0000 [2 per cell]
Re1 0.4896 0.0000 0.5935 [2 per cell]
S1 0.0917 0.0000 0.4326 [2 per cell]
S2 0.1238 0.5000 0.9327 [2 per cell]
S3 0.3681 0.5000 0.6410 [2 per cell]
S4 0.3954 0.0000 0.1769 [2 per cell]

The density comes out at 5.32 Mg/m³. The energy relative to the lowest polymorph listed for this composition comes out at 0.0 meV/atom. The density of states at the Fermi level comes out at 3.654 states/eV per cell. The value obtained for the uncorrected formation energy is -4.28 eV per formula unit. The uncorrected energy comes out at -43.31 eV per formula unit.

***

La2Dy6Y3Mg | PBE | relaxed

Cell: 6.1618 10.6827 11.8278 Å, 90.00 100.10 90.00°
Space group C2/m (No. 12)
Unique sites:
La1 0.0000 0.1670 0.0000 [4 per cell]
Dy1 0.2473 0.5000 0.7468 [4 per cell]
Dy2 0.2487 0.3348 0.2525 [8 per cell]
Y1 0.0000 0.0000 0.5000 [2 per cell]
Y2 0.0000 0.3344 0.5000 [4 per cell]
Mg1 0.0000 0.5000 0.0000 [2 per cell]

The density comes out at 6.69 Mg/m³. The density of states at the Fermi level comes out at 37.312 states/eV per cell. The uncorrected energy comes out at -58.19 eV per formula unit.

***

Q: The highest density belongs to which entry?
A: BaOs3Se